Record 1
This record from Alexandria via LeMat-Bulk describes crystalline LiMoSe at its relaxed geometry. The functional is PBE.

Cell and atoms, written as POSCAR:
```
LiMoSe
1.0
-4.632 0.698 5.093
-5.324 -1.748 3.656
1.398 -0.589 2.495
Li Mo Se
1 1 1
Direct
0.002 0.002 0.998 Li
0.324 0.324 0.676 Mo
0.674 0.674 0.326 Se
```

Results
Formation energy (no corrections)   0.19 eV per atom
ΔE to the lowest computed polymorph   260 meV per atom

---

Record 2
This record from Alexandria via LeMat-Bulk describes crystalline LiMoSe2 at its relaxed geometry. The functional is PBE.

Cell and atoms, written as POSCAR:
```
LiMoSe2
1.0
-1.057 1.851 3.978
-3.503 2.829 0.314
-3.749 -1.282 2.161
Mo Se Li
1 2 1
Direct
0.500 0.500 0.500 Mo
0.250 0.250 0.250 Se
0.750 0.750 0.750 Se
0.000 0.000 0.000 Li
```

Results
Formation energy (no corrections)   -0.29 eV per atom

---

Record 3
This record from Alexandria via LeMat-Bulk describes crystalline LiMoSe at its relaxed geometry. The functional is PBE.

Cell and atoms, written as POSCAR:
```
LiMoSe
1.0
-2.757 1.307 2.787
-4.036 -0.095 -0.883
-2.467 -2.718 1.898
Li Mo Se
1 1 1
Direct
0.000 0.000 0.000 Li
0.500 0.500 0.500 Mo
0.750 0.750 0.750 Se
```

Results
Formation energy (no corrections)   0.05 eV per atom
ΔE to the lowest computed polymorph   118 meV per atom

---

Record 4
This record from Alexandria via LeMat-Bulk describes crystalline LiMoSe2 at its relaxed geometry. The functional is PBE.

Cell and atoms, written as POSCAR:
```
LiMoSe2
1.0
-0.081 5.872 -0.434
-5.701 0.030 1.475
-1.481 3.373 5.961
Mo Se Li
2 4 2
Direct
0.000 0.000 0.000 Mo
0.750 0.250 0.500 Mo
0.644 0.125 0.250 Se
0.106 0.625 0.250 Se
0.375 0.356 0.750 Se
0.875 0.894 0.750 Se
0.500 0.500 0.000 Li
0.250 0.750 0.500 Li
```

Results
Formation energy (no corrections)   -0.35 eV per atom

---

Record 5
This record from Alexandria via LeMat-Bulk describes crystalline LiMoSe2 at its relaxed geometry. The functional is PBE.

Cell and atoms, written as POSCAR:
```
LiMoSe2
1.0
3.344 0.000 0.000
0.000 3.121 0.051
0.000 -0.148 7.279
Li Mo Se
1 1 2
Direct
0.500 0.250 0.250 Li
0.500 0.750 0.750 Mo
0.000 0.753 0.009 Se
0.000 0.747 0.491 Se
```

Results
Formation energy (no corrections)   -0.23 eV per atom

---

Record 6
This record from Alexandria via LeMat-Bulk describes crystalline LiMoSe2 at its relaxed geometry. The functional is PBE.

Cell and atoms, written as POSCAR:
```
LiMoSe2
1.0
3.408 0.007 -0.002
1.698 2.954 -0.002
1.700 0.986 7.135
Li Mo Se
1 1 2
Direct
0.250 0.250 0.250 Li
0.750 0.750 0.750 Mo
0.004 0.004 0.989 Se
0.496 0.496 0.511 Se
```

Results
Formation energy (no corrections)   -0.55 eV per atom

---

Record 7
This record from Alexandria via LeMat-Bulk describes crystalline LiMoSe2 at its relaxed geometry. The functional is PBE.

Cell and atoms, written as POSCAR:
```
LiMoSe2
1.0
-2.360 -1.660 4.989
-1.410 -5.412 1.391
4.295 3.170 -2.172
Li Mo Se
1 1 2
Direct
0.500 0.500 0.000 Li
0.750 0.250 0.500 Mo
0.000 0.000 0.000 Se
0.250 0.750 0.500 Se
```

Results
Formation energy (no corrections)   0.00 eV per atom

---

Record 8
This record from Alexandria via LeMat-Bulk describes crystalline Li2Tl3MoSe6 at its relaxed geometry. The functional is PBE.

Cell and atoms, written as POSCAR:
```
Li2Tl3MoSe6
1.0
6.925 0.028 0.007
-3.437 6.012 0.007
-1.156 -2.001 6.968
Li Tl Mo Se
2 3 1 6
Direct
0.334 0.666 0.000 Li
0.666 0.334 0.000 Li
0.161 0.839 0.500 Tl
0.839 0.161 0.500 Tl
0.500 0.500 0.500 Tl
0.000 0.000 0.000 Mo
0.936 0.630 0.793 Se
0.759 0.759 0.204 Se
0.064 0.370 0.207 Se
0.630 0.936 0.793 Se
0.241 0.241 0.796 Se
0.370 0.064 0.207 Se
```

Results
Formation energy (no corrections)   -0.50 eV per atom

---

Record 9
This record from Alexandria via LeMat-Bulk describes crystalline LiSi2Mo at its relaxed geometry. The functional is PBE.

Cell and atoms, written as POSCAR:
```
LiSi2Mo
1.0
2.678 0.033 0.000
-0.548 2.622 0.000
0.000 0.000 8.282
Li Mo Si
1 1 2
Direct
0.000 0.000 0.488 Li
0.500 0.500 0.767 Mo
0.000 0.000 0.004 Si
0.500 0.500 0.240 Si
```

Results
Formation energy (no corrections)   0.22 eV per atom
ΔE to the lowest computed polymorph   413 meV per atom

---

Record 10
This record from Alexandria via LeMat-Bulk describes crystalline LiSi2Mo at its relaxed geometry. The functional is PBE.

Cell and atoms, written as POSCAR:
```
LiSi2Mo
1.0
8.453 0.024 0.014
7.938 2.906 0.014
7.938 1.419 2.536
Li Mo Si
1 1 2
Direct
0.250 0.250 0.250 Li
0.750 0.750 0.750 Mo
0.004 0.004 0.004 Si
0.496 0.496 0.496 Si
```

Results
Formation energy (no corrections)   -0.07 eV per atom
ΔE to the lowest computed polymorph   124 meV per atom

---

Record 11
This record from Alexandria via LeMat-Bulk describes crystalline Li2Si2Mo at its relaxed geometry. The functional is PBE.

Cell and atoms, written as POSCAR:
```
Li2Si2Mo
1.0
-0.176 -2.267 -2.460
-2.282 -1.720 1.749
-5.715 1.247 -3.021
Mo Si Li
1 2 2
Direct
0.000 0.000 0.000 Mo
0.403 0.403 0.194 Si
0.597 0.597 0.806 Si
0.750 0.250 0.500 Li
0.250 0.750 0.500 Li
```

Results
Formation energy (no corrections)   -0.08 eV per atom
ΔE to the lowest computed polymorph   0 meV per atom

---

Record 12
This record from Alexandria via LeMat-Bulk describes crystalline LiSi2Mo at its relaxed geometry. The functional is PBE.

Cell and atoms, written as POSCAR:
```
LiSi2Mo
1.0
-0.158 -0.566 3.277
2.782 -1.819 -0.180
2.752 4.126 0.846
Li Mo Si
1 1 2
Direct
0.000 0.000 0.488 Li
0.500 0.500 0.770 Mo
0.000 0.000 0.978 Si
0.500 0.500 0.264 Si
```

Results
Formation energy (no corrections)   -0.11 eV per atom
ΔE to the lowest computed polymorph   84 meV per atom

---

Record 13
This record from Alexandria via LeMat-Bulk describes crystalline LiSi2Mo at its relaxed geometry. The functional is PBE.

Cell and atoms, written as POSCAR:
```
LiSi2Mo
1.0
5.999 0.012 0.038
-2.412 4.017 -0.041
1.175 0.711 2.262
Li Mo Si
1 1 2
Direct
0.000 0.500 0.500 Li
0.500 0.500 0.000 Mo
0.000 0.000 0.000 Si
0.500 0.000 0.500 Si
```

Results
Formation energy (no corrections)   -0.06 eV per atom
ΔE to the lowest computed polymorph   134 meV per atom

---

Record 14
This record from Alexandria via LeMat-Bulk describes crystalline LiSi2Mo at its relaxed geometry. The functional is PBE.

Cell and atoms, written as POSCAR:
```
LiSi2Mo
1.0
-1.995 -3.656 -1.723
1.408 0.272 -2.206
3.321 -2.654 1.788
Li Mo Si
1 1 2
Direct
0.000 0.625 0.454 Li
0.500 0.625 0.787 Mo
0.000 0.126 0.965 Si
0.500 0.125 0.294 Si
```

Results
Formation energy (no corrections)   -0.10 eV per atom
ΔE to the lowest computed polymorph   96 meV per atom

---

Record 15
This record from Alexandria via LeMat-Bulk describes crystalline LiSi2Mo at its relaxed geometry. The functional is PBE.

Cell and atoms, written as POSCAR:
```
LiSi2Mo
1.0
4.468 -0.010 0.007
3.654 2.572 0.007
0.734 0.232 5.109
Li Mo Si
1 1 2
Direct
0.750 0.750 0.750 Li
0.250 0.250 0.250 Mo
0.994 0.994 0.024 Si
0.506 0.506 0.476 Si
```

Results
Formation energy (no corrections)   0.00 eV per atom
ΔE to the lowest computed polymorph   190 meV per atom

---

Record 16
This record from Alexandria via LeMat-Bulk describes crystalline LiSi2Mo2 at its relaxed geometry. The functional is PBE.

Cell and atoms, written as POSCAR:
```
LiSi2Mo2
1.0
-5.580 3.325 0.328
-2.771 -4.961 3.164
0.957 1.319 2.906
Mo Si Li
4 4 2
Direct
0.166 0.666 0.500 Mo
0.666 0.834 0.500 Mo
0.834 0.334 0.500 Mo
0.334 0.166 0.500 Mo
0.367 0.867 0.000 Si
0.867 0.633 0.000 Si
0.633 0.133 0.000 Si
0.133 0.367 0.000 Si
0.000 0.000 0.000 Li
0.500 0.500 0.000 Li
```

Results
Formation energy (no corrections)   -0.32 eV per atom
ΔE to the lowest computed polymorph   0 meV per atom

---

Record 17
This record from Alexandria via LeMat-Bulk describes crystalline LiSi4Mo at its relaxed geometry. The functional is PBE.

Cell and atoms, written as POSCAR:
```
LiSi4Mo
1.0
0.000 3.441 3.441
3.441 0.000 3.441
3.441 3.441 0.000
Li Si Mo
1 4 1
Direct
0.750 0.750 0.750 Li
0.375 0.375 0.375 Si
0.375 0.876 0.375 Si
0.375 0.375 0.876 Si
0.876 0.375 0.375 Si
0.000 0.000 0.000 Mo
```

Results
Formation energy (no corrections)   0.20 eV per atom

---

Record 18
This record from Alexandria via LeMat-Bulk describes crystalline LiSi2Mo at its relaxed geometry. The functional is PBE.

Cell and atoms, written as POSCAR:
```
LiSi2Mo
1.0
1.228 -3.898 1.226
-2.375 -3.399 -1.005
1.404 -2.803 -2.895
Mo Si Li
1 2 1
Direct
0.500 0.500 0.500 Mo
0.250 0.250 0.250 Si
0.750 0.750 0.750 Si
0.000 0.000 0.000 Li
```

Results
Formation energy (no corrections)   0.03 eV per atom
ΔE to the lowest computed polymorph   217 meV per atom

---

Record 19
This record from Alexandria via LeMat-Bulk describes crystalline LiSi2Mo at its relaxed geometry. The functional is PBE.

Cell and atoms, written as POSCAR:
```
LiSi2Mo
1.0
4.636 0.003 -0.009
1.685 4.319 0.009
-3.154 -2.170 2.614
Mo Si Li
1 2 1
Direct
0.250 0.750 0.500 Mo
0.000 0.000 0.000 Si
0.500 0.500 0.000 Si
0.750 0.250 0.500 Li
```

Results
Formation energy (no corrections)   -0.18 eV per atom
ΔE to the lowest computed polymorph   8 meV per atom

---

Record 20
This record from Alexandria via LeMat-Bulk describes crystalline LiSi2Mo at its relaxed geometry. The functional is PBE.

Cell and atoms, written as POSCAR:
```
LiSi2Mo
1.0
5.023 -0.004 0.012
4.293 2.609 0.012
-0.495 -0.138 4.386
Li Mo Si
1 1 2
Direct
0.525 0.525 0.585 Li
0.228 0.228 0.172 Mo
0.963 0.963 0.076 Si
0.785 0.785 0.668 Si
```

Results
Formation energy (no corrections)   -0.10 eV per atom
ΔE to the lowest computed polymorph   91 meV per atom